Here is an optimized crystal structure of ZnRhC3 from Alexandria via LeMat-Bulk. Energies are from PBE.

The structure in POSCAR format:
```
ZnRhC3
1.0
-0.2273 2.3382 3.2448
1.4193 -2.9913 2.2550
3.7391 1.2776 -0.6587
Zn Rh C
1 1 3
Direct
0.5000 0.5000 0.5000 Zn
0.0000 0.0000 0.0000 Rh
0.0000 0.5000 0.0000 C
0.0000 0.0000 0.5000 C
0.5000 0.0000 0.0000 C
```

Values from the calculation:
energy relative to the elements = 2.313 eV/atom
SG = Pm-3m
excess energy over the best structure of this formula in the dataset = 0 meV/atom
spin magnetization = 0.0 μB/f.u.